Computed, not measured: crystalline Na2Mn3Cl8 at its relaxed geometry at the GGA-PBE level of DFT.

a = 7.4954 Å, b = 7.4954 Å, c = 19.7142 Å
α = 90.00°, β = 90.00°, γ = 120.00°
Space group R-3m (No. 166, hexagonal axes)
Symmetry-distinct sites (fractional):
Na 0.0000 0.0000 0.1578 x6
Mn 0.0000 0.5000 0.0000 x9
Cl 0.0000 0.0000 0.4040 x6
Cl 0.0182 0.5091 0.4057 x18

Calculated values
final energy	-4.76	eV per atom
total magnetization	1.15	μB per atom
ΔE_f (raw)	-1.310	eV per atom
D(E_F)	0.0	states/eV per cell
ΔE to the lowest computed polymorph	0.000	eV/atom